Record 1
# PBE BaNb2Au, optimized geometry
data_BaNb2Au
_chemical_formula_sum 'Ba4 Nb8 Au4'
_cell_length_a 6.9452
_cell_length_b 6.9452
_cell_length_c 6.9452
_cell_angle_alpha 90.00
_cell_angle_beta 90.00
_cell_angle_gamma 90.00
_space_group_name_H-M_alt 'F m -3 m'
_space_group_IT_number 225
_space_group_name_Hall '-F 4 2 3'
loop_
_atom_site_label
_atom_site_type_symbol
_atom_site_fract_x
_atom_site_fract_y
_atom_site_fract_z
Ba1 Ba 0.0000 0.0000 0.0000
Nb1 Nb 0.2500 0.2500 0.2500
Au1 Au 0.0000 0.0000 0.5000
# density of states at the Fermi level	1.540	states/eV/atom
# VASP energy	-5.49	eV per atom


Record 2
# PBE BaNbAu, optimized geometry
data_BaNbAu
_chemical_formula_sum 'Ba4 Nb4 Au4'
_cell_length_a 4.9471
_cell_length_b 8.0912
_cell_length_c 8.3160
_cell_angle_alpha 90.00
_cell_angle_beta 90.00
_cell_angle_gamma 90.00
_space_group_name_H-M_alt 'I m m 2'
_space_group_IT_number 44
loop_
_space_group_symop_operation_xyz
'x,y,z'
'-x,-y,z'
'-x,y,z'
'x,-y,z'
'x+1/2,y+1/2,z+1/2'
'-x+1/2,-y+1/2,z+1/2'
'-x+1/2,y+1/2,z+1/2'
'x+1/2,-y+1/2,z+1/2'
loop_
_atom_site_label
_atom_site_type_symbol
_atom_site_fract_x
_atom_site_fract_y
_atom_site_fract_z
Ba1 Ba 0.0000 0.0000 0.0000
Ba2 Ba 0.0000 0.5000 0.1446
Nb1 Nb 0.0000 0.3535 0.7375
Au1 Au 0.0000 0.1921 0.4130
# density of states at the Fermi level	0.895	states/eV/atom
# VASP energy	-4.94	eV per atom


Record 3
# PBE BaNbAu, optimized geometry
data_BaNbAu
_chemical_formula_sum 'Ba2 Nb2 Au2'
_cell_length_a 4.7000
_cell_length_b 5.8211
_cell_length_c 6.5321
_cell_angle_alpha 89.65
_cell_angle_beta 70.26
_cell_angle_gamma 87.51
_space_group_name_H-M_alt 'P 1'
_space_group_IT_number 1
loop_
_space_group_symop_operation_xyz
'x,y,z'
loop_
_atom_site_label
_atom_site_type_symbol
_atom_site_fract_x
_atom_site_fract_y
_atom_site_fract_z
Ba1 Ba 0.0000 0.0000 0.0000
Ba2 Ba 0.4356 0.4846 0.1180
Nb1 Nb 0.2984 0.9834 0.4700
Nb2 Nb 0.6966 0.7332 0.5514
Au1 Au 0.1641 0.5032 0.6635
Au2 Au 0.7399 0.2319 0.5493
# density of states at the Fermi level	0.800	states/eV/atom
# VASP energy	-4.93	eV per atom


Record 4
# PBE BaNbAu, optimized geometry
data_BaNbAu
_chemical_formula_sum 'Ba4 Nb4 Au4'
_cell_length_a 12.4621
_cell_length_b 4.6481
_cell_length_c 8.0076
_cell_angle_alpha 90.00
_cell_angle_beta 128.45
_cell_angle_gamma 90.00
_space_group_name_H-M_alt 'C 1 m 1'
_space_group_IT_number 8
loop_
_space_group_symop_operation_xyz
'x,y,z'
'x,-y,z'
'x+1/2,y+1/2,z'
'x+1/2,-y+1/2,z'
loop_
_atom_site_label
_atom_site_type_symbol
_atom_site_fract_x
_atom_site_fract_y
_atom_site_fract_z
Ba1 Ba 0.0000 0.0000 0.0000
Ba2 Ba 0.1449 0.0000 0.6931
Nb1 Nb 0.3428 0.0000 0.4764
Nb2 Nb 0.4104 0.0000 0.2647
Au1 Au 0.1942 0.5000 0.4354
Au2 Au 0.2808 0.5000 0.1684
# density of states at the Fermi level	0.517	states/eV/atom
# VASP energy	-4.98	eV per atom


no.,ΔE to the lowest computed polymorph (eV per atom)
1,0.1454
2,0.1689
3,0.1789
4,0.1351